Density functional theory data (PBE+U) for a relaxed structure of MnAlP2O.

Values from the calculation:
Magnetization (μB per formula unit): 2.54
Energy above the most stable polymorph in this dataset (meV per atom): 390.1

abc: 4.7953 4.7953 3.5674
angles: 90.00 90.00 90.00
Fractional coordinates of all 5 atoms:
O 0.0000 0.0000 0.5000
Mn 0.0000 0.0000 0.0000
P 0.5000 0.0000 0.0000
P 0.0000 0.5000 0.0000
Al 0.5000 0.5000 0.5000